DFT (meta-GGA SCAN) results for a PBEsol-optimized structure of SrHf3Rh.

Output
D(E_F) = 0.8168 states/eV/atom
Symmetry = Pm-3m, No. 221
DFT formation energy = 0.79 eV per formula unit

abc: 5.053 5.053 5.053
angles: 90.00 90.00 90.00
Fractional positions:
Rh  0.000  0.000  0.000
Hf  0.000  0.500  0.000
Hf  0.000  0.000  0.500
Hf  0.500  0.000  0.000
Sr  0.500  0.500  0.500



DFT (meta-GGA SCAN) results for a PBEsol-optimized structure of HfTi2TcRh.

Output
D(E_F) = 1.4113 states/eV/atom
Symmetry = P4/mmm, No. 123
DFT formation energy = 7.42 eV per formula unit

abc: 4.519 4.644 4.644
angles: 90.00 90.00 90.00
Fractional positions:
Rh  0.500  0.500  0.500
Hf  0.000  0.000  0.000
Tc  0.500  0.000  0.000
Ti  0.000  0.000  0.500
Ti  0.000  0.500  0.000



DFT (meta-GGA SCAN) results for a PBEsol-optimized structure of Hf2TlTcRh.

Output
D(E_F) = 1.1489 states/eV/atom
Symmetry = P4/mmm, No. 123
DFT formation energy = 8.99 eV per formula unit

abc: 4.723 5.097 5.097
angles: 90.00 90.00 90.00
Fractional positions:
Rh  0.500  0.000  0.000
Tl  0.000  0.000  0.000
Hf  0.000  0.000  0.500
Hf  0.000  0.500  0.000
Tc  0.500  0.500  0.500



DFT (meta-GGA SCAN) results for a PBEsol-optimized structure of Hf3TeRh.

Output
D(E_F) = 0.5490 states/eV/atom
Uncorrected formation energy = -0.26 eV/f.u.
Symmetry = Pm-3m, No. 221

abc: 4.940 4.940 4.940
angles: 90.00 90.00 90.00
Fractional positions:
Rh  0.000  0.000  0.000
Te  0.500  0.500  0.500
Hf  0.000  0.500  0.000
Hf  0.000  0.000  0.500
Hf  0.500  0.000  0.000



DFT (meta-GGA SCAN) results for a PBEsol-optimized structure of HfRh3W.

Output
D(E_F) = 0.9627 states/eV/atom
Relative energy among the computed polymorphs = 0.0000 eV/atom
Symmetry = Pm-3m, No. 221
DFT formation energy = 4.31 eV per formula unit

abc: 4.604 4.604 4.604
angles: 90.00 90.00 90.00
Fractional positions:
Rh  0.000  0.500  0.000
Rh  0.000  0.000  0.500
Rh  0.500  0.000  0.000
Hf  0.500  0.500  0.500
W  0.000  0.000  0.000



DFT (meta-GGA SCAN) results for a PBEsol-optimized structure of YHf2Rh2.

Output
D(E_F) = 0.8715 states/eV/atom
Symmetry = I4/mmm, No. 139
DFT formation energy = -4.20 eV per formula unit

abc: 4.405 4.405 6.200
angles: 110.81 110.81 90.00
Fractional positions:
Y  0.000  0.000  0.000
Rh  0.382  0.382  0.763
Rh  0.618  0.618  0.237
Hf  0.250  0.750  0.500
Hf  0.750  0.250  0.500



DFT (meta-GGA SCAN) results for a PBEsol-optimized structure of YHfRh.

Output
D(E_F) = 0.7924 states/eV/atom
Symmetry = C2/m, No. 12
DFT formation energy = -2.19 eV per formula unit

abc: 3.737 5.917 6.537
angles: 73.75 73.39 71.59
Fractional positions:
Y  0.417  0.311  0.855
Y  0.583  0.689  0.145
Hf  0.169  0.235  0.428
Hf  0.831  0.765  0.572
Rh  0.147  0.903  0.804
Rh  0.853  0.097  0.196



DFT (meta-GGA SCAN) results for a PBEsol-optimized structure of YHfRh3.

Output
D(E_F) = 0.2030 states/eV/atom
Symmetry = Pm-3m, No. 221
DFT formation energy = 4.23 eV per formula unit

abc: 4.694 4.694 4.694
angles: 90.00 90.00 90.00
Fractional positions:
Y  0.000  0.000  0.000
Rh  0.000  0.500  0.000
Rh  0.000  0.000  0.500
Rh  0.500  0.000  0.000
Hf  0.500  0.500  0.500



DFT (meta-GGA SCAN) results for a PBEsol-optimized structure of Y2HfRh2.

Output
D(E_F) = 0.6337 states/eV/atom
Symmetry = P4/mbm, No. 127
DFT formation energy = -3.97 eV per formula unit

abc: 4.318 6.947 6.947
angles: 90.00 90.00 90.00
Fractional positions:
Y  0.500  0.170  0.670
Y  0.500  0.670  0.830
Y  0.500  0.830  0.330
Y  0.500  0.330  0.170
Rh  0.000  0.360  0.860
Rh  0.000  0.860  0.640
Rh  0.000  0.640  0.140
Rh  0.000  0.140  0.360
Hf  0.000  0.000  0.000
Hf  0.000  0.500  0.500



DFT (meta-GGA SCAN) results for a PBEsol-optimized structure of HfSbRu.

Output
D(E_F) = 1.2728 states/eV/atom
Uncorrected formation energy = -2.09 eV/f.u.
Symmetry = F-43m, No. 216

abc: 4.410 4.410 4.410
angles: 60.00 60.00 60.00
Fractional positions:
Sb  0.500  0.500  0.500
Hf  0.000  0.000  0.000
Ru  0.750  0.750  0.750



DFT (meta-GGA SCAN) results for a PBEsol-optimized structure of Hf3SbRu.

Output
D(E_F) = 0.9726 states/eV/atom
Uncorrected formation energy = 0.02 eV/f.u.
Symmetry = Pm-3m, No. 221

abc: 4.898 4.898 4.898
angles: 90.00 90.00 90.00
Fractional positions:
Sb  0.500  0.500  0.500
Hf  0.000  0.500  0.000
Hf  0.000  0.000  0.500
Hf  0.500  0.000  0.000
Ru  0.000  0.000  0.000



DFT (meta-GGA SCAN) results for a PBEsol-optimized structure of HfScRu2.

Output
D(E_F) = 0.3944 states/eV/atom
Symmetry = Fm-3m, No. 225
DFT formation energy = -3.46 eV per formula unit

abc: 4.495 4.495 4.495
angles: 60.00 60.00 60.00
Fractional positions:
Sc  0.000  0.000  0.000
Ru  0.250  0.250  0.250
Ru  0.750  0.750  0.750
Hf  0.500  0.500  0.500



DFT (meta-GGA SCAN) results for a PBEsol-optimized structure of Hf2ScZnRu.

Output
D(E_F) = 0.8286 states/eV/atom
Symmetry = P4/mmm, No. 123
DFT formation energy = 0.95 eV per formula unit

abc: 4.809 4.809 4.839
angles: 90.00 90.00 90.00
Fractional positions:
Sc  0.500  0.500  0.500
Ru  0.000  0.000  0.000
Zn  0.000  0.000  0.500
Hf  0.000  0.500  0.000
Hf  0.500  0.000  0.000



DFT (meta-GGA SCAN) results for a PBEsol-optimized structure of Hf2Si4Ru3.

Output
D(E_F) = 0.3240 states/eV/atom
Uncorrected formation energy = -8.10 eV/f.u.
Symmetry = C2/c, No. 15

abc: 5.292 9.760 10.856
angles: 79.15 75.89 74.27
Fractional positions:
Hf  0.702  0.501  0.352
Hf  0.556  0.999  0.148
Hf  0.298  0.499  0.648
Hf  0.444  0.001  0.852
Hf  0.962  0.970  0.362
Hf  0.293  0.530  0.138
Hf  0.038  0.030  0.638
Hf  0.707  0.470  0.862
Si  0.128  0.250  0.750
Si  0.872  0.750  0.250
Si  0.619  0.250  0.750
Si  0.381  0.750  0.250
Si  0.030  0.121  0.106
Si  0.256  0.379  0.394
Si  0.970  0.879  0.894
Si  0.744  0.621  0.606
Si  0.428  0.722  0.936
Si  0.086  0.778  0.564
Si  0.572  0.278  0.064
Si  0.914  0.222  0.436
Si  0.611  0.927  0.604
Si  0.143  0.573  0.896
Si  0.389  0.073  0.396
Si  0.857  0.427  0.104
Ru  0.348  0.757  0.720
Ru  0.825  0.743  0.780
Ru  0.234  0.311  0.933
Ru  0.175  0.257  0.220
Ru  0.092  0.627  0.416
Ru  0.134  0.873  0.084
Ru  0.908  0.373  0.584
Ru  0.866  0.127  0.916
Ru  0.766  0.689  0.067
Ru  0.521  0.811  0.433
Ru  0.479  0.189  0.567
Ru  0.652  0.243  0.280



DFT (meta-GGA SCAN) results for a PBEsol-optimized structure of Hf2Si2Ru.

Output
D(E_F) = 0.3453 states/eV/atom
Uncorrected formation energy = -4.61 eV/f.u.
Symmetry = P4/mbm, No. 127

abc: 4.066 6.250 6.250
angles: 90.00 90.00 90.00
Fractional positions:
Ru  0.000  0.000  0.000
Ru  0.000  0.500  0.500
Si  0.000  0.365  0.865
Si  0.000  0.865  0.635
Si  0.000  0.635  0.135
Si  0.000  0.135  0.365
Hf  0.500  0.173  0.673
Hf  0.500  0.673  0.827
Hf  0.500  0.827  0.327
Hf  0.500  0.327  0.173



DFT (meta-GGA SCAN) results for a PBEsol-optimized structure of HfSiRu.

Output
D(E_F) = 0.4420 states/eV/atom
Uncorrected formation energy = -2.99 eV/f.u.
Symmetry = P-62m, No. 189

abc: 3.647 6.589 6.589
angles: 120.00 90.00 90.00
Fractional positions:
Ru  0.000  0.000  0.754
Ru  0.000  0.246  0.246
Ru  0.000  0.754  0.000
Si  0.500  0.000  0.000
Si  0.000  0.667  0.333
Si  0.000  0.333  0.667
Hf  0.500  0.415  0.000
Hf  0.500  0.585  0.585
Hf  0.500  0.000  0.415



DFT (meta-GGA SCAN) results for a PBEsol-optimized structure of HfSiRu.

Output
D(E_F) = 0.3715 states/eV/atom
Uncorrected formation energy = -3.05 eV/f.u.
Symmetry = Ima2, No. 46

abc: 6.598 7.517 7.297
angles: 60.97 90.00 116.03
Fractional positions:
Hf  0.697  0.439  0.530
Hf  0.258  0.561  0.470
Hf  0.831  0.994  0.253
Hf  0.837  0.006  0.747
Hf  0.257  0.606  0.947
Hf  0.651  0.394  0.053
Si  0.270  0.048  0.726
Si  0.221  0.952  0.274
Si  0.588  0.665  0.673
Si  0.923  0.335  0.327
Si  0.923  0.335  0.839
Si  0.588  0.665  0.161
Ru  0.499  0.000  0.500
Ru  0.499  0.000  0.000
Ru  0.253  0.247  0.903
Ru  0.006  0.753  0.097
Ru  0.006  0.753  0.650
Ru  0.253  0.247  0.350



DFT (meta-GGA SCAN) results for a PBEsol-optimized structure of HfSiRu2.

Output
Uncorrected formation energy = -3.77 eV/f.u.
Symmetry = Fm-3m, No. 225

abc: 4.321 4.321 4.321
angles: 60.00 60.00 60.00
Fractional positions:
Ru  0.250  0.250  0.250
Ru  0.750  0.750  0.750
Si  0.000  0.000  0.000
Hf  0.500  0.500  0.500



DFT (meta-GGA SCAN) results for a PBEsol-optimized structure of Sr2Hf2Ru.

Output
D(E_F) = 1.0964 states/eV/atom
Symmetry = I4/mmm, No. 139
DFT formation energy = 6.41 eV per formula unit

abc: 3.835 3.835 8.773
angles: 102.62 102.62 90.00
Fractional positions:
Ru  0.000  0.000  0.000
Hf  0.423  0.423  0.847
Hf  0.577  0.577  0.153
Sr  0.250  0.750  0.500
Sr  0.750  0.250  0.500



DFT (meta-GGA SCAN) results for a PBEsol-optimized structure of HfTaRuW2.

Output
D(E_F) = 1.0356 states/eV/atom
Symmetry = P4/mmm, No. 123
DFT formation energy = 6.83 eV per formula unit

abc: 4.651 4.674 4.674
angles: 90.00 90.00 90.00
Fractional positions:
Ru  0.000  0.000  0.000
Hf  0.500  0.500  0.500
W  0.000  0.000  0.500
W  0.000  0.500  0.000
Ta  0.500  0.000  0.000